# Ce5O9

A PBEsol-optimized structure of Ce5O9 (meta-GGA SCAN, Alexandria via LeMat-Bulk).

Values from the calculation:
The calculation puts the energy relative to the elements, uncorrected at -3.778 eV per atom. For the spin magnetization, the calculation gives 4.0 μB/cell. As for the calculated volume: 14.5 Å³ per atom. Its crystal system is tetragonal.

Cell lengths 8.582, 8.582, 5.503 Å; angles 90.00, 90.00, 90.00 degrees
Space group I-4 (No. 82)
Asymmetric unit:
1 Ce 0.000 0.000 0.000
2 Ce 0.110 0.288 0.476
3 O 0.000 0.500 0.250
4 O 0.091 0.809 0.253
5 O 0.095 0.771 0.749